# 1
## Zn2SiO4 (PBE)

Data for Zn2SiO4 after structural relaxation.

Values from the calculation:
DFT total energy ... -5.96 eV/atom
Formation energy without anion corrections ... -1.99 eV per atom
Spin magnetization ... 0.0 μB per formula unit
Volume ... 84.4 Å³/f.u.
Density of states at the Fermi level ... 0.00 states/eV/cell

abc: 6.1852 11.0477 9.8813
angles: 90.00 90.00 90.00
Space group Pbca (No. 61)
Unique sites:
Zn1 0.0580 0.1612 0.1825 (multiplicity 8)
Zn2 0.1547 0.5606 0.9173 (multiplicity 8)
Si1 0.1362 0.6234 0.6206 (multiplicity 8)
O1 0.0756 0.1350 0.9801 (multiplicity 8)
O2 0.0956 0.5119 0.7293 (multiplicity 8)
O3 0.1497 0.0984 0.5256 (multiplicity 8)
O4 0.1670 0.7475 0.7148 (multiplicity 8)

# 2
## Zn2SiO4 (PBE)

Data for Zn2SiO4 after structural relaxation.

Values from the calculation:
DFT total energy ... -5.93 eV/atom
Formation energy without anion corrections ... -1.96 eV per atom
Spin magnetization ... 0.0 μB per formula unit
Volume ... 77.2 Å³/f.u.
Density of states at the Fermi level ... 0.00 states/eV/cell

abc: 10.4578 6.0971 4.8452
angles: 90.00 90.00 90.00
Space group Pnma (No. 62)
Unique sites:
Zn1 0.0000 0.0000 0.0000 (multiplicity 4)
Zn2 0.2199 0.2500 0.4858 (multiplicity 4)
Si1 0.0958 0.7500 0.4268 (multiplicity 4)
O1 0.0508 0.2500 0.7165 (multiplicity 4)
O2 0.0934 0.7500 0.7650 (multiplicity 4)
O3 0.1643 0.5336 0.2813 (multiplicity 8)

# 3
## ZnSi3O (PBE)

Data for ZnSi3O after structural relaxation.

Values from the calculation:
DFT total energy ... -3.25 eV/atom
Formation energy without anion corrections ... 1.25 eV per atom
Spin magnetization ... 0.0 μB per formula unit
Volume ... 97.7 Å³/f.u.
Density of states at the Fermi level ... 3.01 states/eV/cell

abc: 4.6061 4.6061 4.6061
angles: 90.00 90.00 90.00
Space group Pm-3m (No. 221)
Unique sites:
Zn1 0.0000 0.0000 0.0000 (multiplicity 1)
Si1 0.0000 0.0000 0.5000 (multiplicity 3)
O1 0.5000 0.5000 0.5000 (multiplicity 1)

# 4
## ZnSiO (PBE)

Data for ZnSiO after structural relaxation.

Values from the calculation:
DFT total energy ... -4.60 eV/atom
Formation energy without anion corrections ... -0.72 eV per atom
Spin magnetization ... 0.0 μB per formula unit
Volume ... 44.3 Å³/f.u.
Density of states at the Fermi level ... 0.82 states/eV/cell

abc: 2.6291 2.6291 14.7883
angles: 90.00 90.00 120.00
Space group P-6m2 (No. 187)
Unique sites:
Zn1 0.0000 0.0000 0.1749 (multiplicity 2)
Si1 0.0000 0.0000 0.5000 (multiplicity 1)
Si2 0.6667 0.3333 0.0000 (multiplicity 1)
O1 0.6667 0.3333 0.4263 (multiplicity 2)